Material: CaCd2Cl
Method: DFT, PBE
State: relaxed

Cell and atoms, written as CIF:
```
data_CaCd2Cl
_chemical_formula_sum 'Ca2 Cd4 Cl2'
_symmetry_space_group_name_H-M 'P 1'
_symmetry_Int_Tables_number 1
_cell_length_a 9.062
_cell_length_b 9.062
_cell_length_c 6.995
_cell_angle_alpha 49.63
_cell_angle_beta 49.63
_cell_angle_gamma 90.00
loop_
_symmetry_equiv_pos_as_xyz
'x,y,z'
loop_
_atom_site_label
_atom_site_type_symbol
_atom_site_fract_x
_atom_site_fract_y
_atom_site_fract_z
Ca1 Ca 0.000 0.000 0.000
Ca2 Ca 0.750 0.250 0.500
Cl1 Cl 0.500 0.500 0.000
Cl2 Cl 0.250 0.750 0.500
Cd1 Cd 0.618 0.125 0.250
Cd2 Cd 0.132 0.625 0.250
Cd3 Cd 0.375 0.382 0.750
Cd4 Cd 0.875 0.868 0.750
```

Properties
E above lowest polymorph = 0.710 eV per formula unit
formation energy from raw total energies = -0.61 eV/atom
calculated volume = 230.5 Å³/cell
final energy = -2.031 eV/atom
N(E_F) = 3.7 states/eV per cell